# GGA-PBE Sc2AlB2Ru5, optimized geometry
# **E_tot**: -8.224 eV per atom
# **Calculated volume**: 266.9 Å³/cell
# **Space group**: P4/mbm (127)
# **DFT formation energy**: -0.6101 eV/atom
# **Fermi-level density of states**: 18.99 states/eV per cell
data_Sc2AlB2Ru5
_cell_length_a 3.039
_cell_length_b 9.373
_cell_length_c 9.373
_cell_angle_alpha 90.00
_cell_angle_beta 90.00
_cell_angle_gamma 90.00
_space_group_name_H-M_alt 'P 1'
_space_group_IT_number 1
_space_group_name_Hall 'P 1'
loop_
_atom_site_label
_atom_site_type_symbol
_atom_site_fract_x
_atom_site_fract_y
_atom_site_fract_z
B1 B 0.000 0.126 0.626
B2 B 0.000 0.626 0.874
B3 B 0.000 0.374 0.126
B4 B 0.000 0.874 0.374
Ru1 Ru 0.500 0.570 0.715
Ru2 Ru 0.500 0.430 0.285
Ru3 Ru 0.500 0.500 0.000
Ru4 Ru 0.500 0.930 0.215
Ru5 Ru 0.500 0.785 0.930
Ru6 Ru 0.500 0.070 0.785
Ru7 Ru 0.500 0.285 0.570
Ru8 Ru 0.500 0.215 0.070
Ru9 Ru 0.500 0.715 0.430
Ru10 Ru 0.500 0.000 0.500
Al1 Al 0.000 0.500 0.500
Al2 Al 0.000 0.000 0.000
Sc1 Sc 0.000 0.676 0.176
Sc2 Sc 0.000 0.824 0.676
Sc3 Sc 0.000 0.324 0.824
Sc4 Sc 0.000 0.176 0.324

# GGA-PBE Al2SiBRu, optimized geometry
# **E_tot**: -5.524 eV per atom
# **Calculated volume**: 69.5 Å³/cell
# **Space group**: P4/mmm (123)
# **Fermi-level density of states**: 2.63 states/eV per cell
# **Formation energy from raw total energies**: 0.249 eV/atom
data_Al2SiBRu
_cell_length_a 4.097
_cell_length_b 4.144
_cell_length_c 4.097
_cell_angle_alpha 90.00
_cell_angle_beta 90.00
_cell_angle_gamma 90.00
_space_group_name_H-M_alt 'P 1'
_space_group_IT_number 1
_space_group_name_Hall 'P 1'
loop_
_atom_site_label
_atom_site_type_symbol
_atom_site_fract_x
_atom_site_fract_y
_atom_site_fract_z
Ru1 Ru 0.000 0.500 0.000
Al1 Al 0.500 0.000 0.000
Al2 Al 0.000 0.000 0.500
Si1 Si 0.500 0.500 0.500
B1 B 0.000 0.000 0.000

# GGA-PBE Sm3Al2BRu3, optimized geometry
# **E_tot**: -6.466 eV per atom
# **Calculated volume**: 169.1 Å³/cell
# **Space group**: P-62m (189)
# **DFT formation energy**: -0.2270 eV/atom
# **Fermi-level density of states**: 5.81 states/eV per cell
data_Sm3Al2BRu3
_cell_length_a 3.583
_cell_length_b 7.382
_cell_length_c 7.382
_cell_angle_alpha 120.00
_cell_angle_beta 90.00
_cell_angle_gamma 90.00
_space_group_name_H-M_alt 'P 1'
_space_group_IT_number 1
_space_group_name_Hall 'P 1'
loop_
_atom_site_label
_atom_site_type_symbol
_atom_site_fract_x
_atom_site_fract_y
_atom_site_fract_z
Sm1 Sm 0.000 0.360 0.000
Sm2 Sm 0.000 0.000 0.360
Sm3 Sm 0.000 0.640 0.640
Ru1 Ru 0.500 0.000 0.776
Ru2 Ru 0.500 0.224 0.224
Ru3 Ru 0.500 0.776 0.000
Al1 Al 0.500 0.667 0.333
Al2 Al 0.500 0.333 0.667
B1 B 0.000 0.000 0.000

# GGA-PBE Ta2AlB2Ru5, optimized geometry
# **E_tot**: -9.325 eV per atom
# **Calculated volume**: 259.4 Å³/cell
# **Space group**: P4/mbm (127)
# **DFT formation energy**: -0.6073 eV/atom
# **Fermi-level density of states**: 8.46 states/eV per cell
data_Ta2AlB2Ru5
_cell_length_a 3.003
_cell_length_b 9.294
_cell_length_c 9.294
_cell_angle_alpha 90.00
_cell_angle_beta 90.00
_cell_angle_gamma 90.00
_space_group_name_H-M_alt 'P 1'
_space_group_IT_number 1
_space_group_name_Hall 'P 1'
loop_
_atom_site_label
_atom_site_type_symbol
_atom_site_fract_x
_atom_site_fract_y
_atom_site_fract_z
Ru1 Ru 0.500 0.215 0.069
Ru2 Ru 0.500 0.500 0.000
Ru3 Ru 0.500 0.931 0.215
Ru4 Ru 0.500 0.431 0.285
Ru5 Ru 0.500 0.285 0.569
Ru6 Ru 0.500 0.069 0.785
Ru7 Ru 0.500 0.569 0.715
Ru8 Ru 0.500 0.785 0.931
Ru9 Ru 0.500 0.000 0.500
Ru10 Ru 0.500 0.715 0.431
Ta1 Ta 0.000 0.177 0.323
Ta2 Ta 0.000 0.323 0.823
Ta3 Ta 0.000 0.823 0.677
Ta4 Ta 0.000 0.677 0.177
Al1 Al 0.000 0.500 0.500
Al2 Al 0.000 0.000 0.000
B1 B 0.000 0.625 0.875
B2 B 0.000 0.875 0.375
B3 B 0.000 0.375 0.125
B4 B 0.000 0.125 0.625

# GGA-PBE Th2AlB2Ru5, optimized geometry
# **E_tot**: -8.385 eV per atom
# **Calculated volume**: 304.2 Å³/cell
# **Space group**: P4/mbm (127)
# **DFT formation energy**: -0.5531 eV/atom
# **Fermi-level density of states**: 8.46 states/eV per cell
data_Th2AlB2Ru5
_cell_length_a 3.202
_cell_length_b 9.746
_cell_length_c 9.746
_cell_angle_alpha 90.00
_cell_angle_beta 90.00
_cell_angle_gamma 90.00
_space_group_name_H-M_alt 'P 1'
_space_group_IT_number 1
_space_group_name_Hall 'P 1'
loop_
_atom_site_label
_atom_site_type_symbol
_atom_site_fract_x
_atom_site_fract_y
_atom_site_fract_z
Ru1 Ru 0.500 0.070 0.780
Ru2 Ru 0.500 0.430 0.280
Ru3 Ru 0.500 0.930 0.220
Ru4 Ru 0.500 0.280 0.570
Ru5 Ru 0.500 0.220 0.070
Ru6 Ru 0.500 0.570 0.720
Ru7 Ru 0.500 0.500 0.000
Ru8 Ru 0.500 0.720 0.430
Ru9 Ru 0.500 0.000 0.500
Ru10 Ru 0.500 0.780 0.930
Al1 Al 0.000 0.000 0.000
Al2 Al 0.000 0.500 0.500
Th1 Th 0.000 0.823 0.677
Th2 Th 0.000 0.677 0.177
Th3 Th 0.000 0.177 0.323
Th4 Th 0.000 0.323 0.823
B1 B 0.000 0.122 0.622
B2 B 0.000 0.622 0.878
B3 B 0.000 0.378 0.122
B4 B 0.000 0.878 0.378

# GGA-PBE Ti2AlB2Ru5, optimized geometry
# **E_tot**: -8.556 eV per atom
# **Calculated volume**: 253.9 Å³/cell
# **Space group**: P4/mbm (127)
# **DFT formation energy**: -0.6290 eV/atom
# **Fermi-level density of states**: 13.45 states/eV per cell
data_Ti2AlB2Ru5
_cell_length_a 2.998
_cell_length_b 9.202
_cell_length_c 9.202
_cell_angle_alpha 90.00
_cell_angle_beta 90.00
_cell_angle_gamma 90.00
_space_group_name_H-M_alt 'P 1'
_space_group_IT_number 1
_space_group_name_Hall 'P 1'
loop_
_atom_site_label
_atom_site_type_symbol
_atom_site_fract_x
_atom_site_fract_y
_atom_site_fract_z
Ru1 Ru 0.500 0.000 0.500
Ru2 Ru 0.500 0.787 0.928
Ru3 Ru 0.500 0.928 0.213
Ru4 Ru 0.500 0.713 0.428
Ru5 Ru 0.500 0.287 0.572
Ru6 Ru 0.500 0.572 0.713
Ru7 Ru 0.500 0.500 0.000
Ru8 Ru 0.500 0.072 0.787
Ru9 Ru 0.500 0.428 0.287
Ru10 Ru 0.500 0.213 0.072
Ti1 Ti 0.000 0.675 0.175
Ti2 Ti 0.000 0.825 0.675
Ti3 Ti 0.000 0.175 0.325
Ti4 Ti 0.000 0.325 0.825
B1 B 0.000 0.126 0.626
B2 B 0.000 0.626 0.874
B3 B 0.000 0.374 0.126
B4 B 0.000 0.874 0.374
Al1 Al 0.000 0.500 0.500
Al2 Al 0.000 0.000 0.000

# GGA-PBE Tm2AlB2Ru5, optimized geometry
# **E_tot**: -7.794 eV per atom
# **Calculated volume**: 281.0 Å³/cell
# **Space group**: P4/mbm (127)
# **DFT formation energy**: -0.5517 eV/atom
# **Fermi-level density of states**: 20.55 states/eV per cell
data_Tm2AlB2Ru5
_cell_length_a 3.099
_cell_length_b 9.523
_cell_length_c 9.523
_cell_angle_alpha 90.00
_cell_angle_beta 90.00
_cell_angle_gamma 90.00
_space_group_name_H-M_alt 'P 1'
_space_group_IT_number 1
_space_group_name_Hall 'P 1'
loop_
_atom_site_label
_atom_site_type_symbol
_atom_site_fract_x
_atom_site_fract_y
_atom_site_fract_z
Tm1 Tm 0.000 0.824 0.676
Tm2 Tm 0.000 0.676 0.176
Tm3 Tm 0.000 0.176 0.324
Tm4 Tm 0.000 0.324 0.824
Ru1 Ru 0.500 0.500 0.000
Ru2 Ru 0.500 0.069 0.783
Ru3 Ru 0.500 0.217 0.069
Ru4 Ru 0.500 0.000 0.500
Ru5 Ru 0.500 0.717 0.431
Ru6 Ru 0.500 0.783 0.931
Ru7 Ru 0.500 0.569 0.717
Ru8 Ru 0.500 0.431 0.283
Ru9 Ru 0.500 0.931 0.217
Ru10 Ru 0.500 0.283 0.569
B1 B 0.000 0.125 0.625
B2 B 0.000 0.625 0.875
B3 B 0.000 0.875 0.375
B4 B 0.000 0.375 0.125
Al1 Al 0.000 0.500 0.500
Al2 Al 0.000 0.000 0.000

# GGA-PBE AlV2B2Ru5, optimized geometry
# **E_tot**: -8.612 eV per atom
# **Calculated volume**: 245.9 Å³/cell
# **Space group**: P4/mbm (127)
# **DFT formation energy**: -0.4401 eV/atom
# **Fermi-level density of states**: 11.83 states/eV per cell
data_AlV2B2Ru5
_cell_length_a 2.925
_cell_length_b 9.168
_cell_length_c 9.168
_cell_angle_alpha 90.00
_cell_angle_beta 90.00
_cell_angle_gamma 90.00
_space_group_name_H-M_alt 'P 1'
_space_group_IT_number 1
_space_group_name_Hall 'P 1'
loop_
_atom_site_label
_atom_site_type_symbol
_atom_site_fract_x
_atom_site_fract_y
_atom_site_fract_z
B1 B 0.000 0.874 0.374
B2 B 0.000 0.126 0.626
B3 B 0.000 0.374 0.126
B4 B 0.000 0.626 0.874
Al1 Al 0.000 0.500 0.500
Al2 Al 0.000 0.000 0.000
Ru1 Ru 0.500 0.928 0.213
Ru2 Ru 0.500 0.072 0.787
Ru3 Ru 0.500 0.713 0.428
Ru4 Ru 0.500 0.500 0.000
Ru5 Ru 0.500 0.000 0.500
Ru6 Ru 0.500 0.787 0.928
Ru7 Ru 0.500 0.572 0.713
Ru8 Ru 0.500 0.213 0.072
Ru9 Ru 0.500 0.287 0.572
Ru10 Ru 0.500 0.428 0.287
V1 V 0.000 0.324 0.824
V2 V 0.000 0.176 0.324
V3 V 0.000 0.676 0.176
V4 V 0.000 0.824 0.676

# GGA-PBE AlB3S, optimized geometry
# **E_tot**: -4.019 eV per atom
# **Calculated volume**: 56.5 Å³/cell
# **Space group**: Pm-3m (221)
# **Polymorph energy (0 for the lowest one)**: 0.0000 eV/atom
# **Fermi-level density of states**: 1.51 states/eV per cell
# **Formation energy from raw total energies**: 1.561 eV/atom
data_AlB3S
_cell_length_a 3.837
_cell_length_b 3.837
_cell_length_c 3.837
_cell_angle_alpha 90.00
_cell_angle_beta 90.00
_cell_angle_gamma 90.00
_space_group_name_H-M_alt 'P 1'
_space_group_IT_number 1
_space_group_name_Hall 'P 1'
loop_
_atom_site_label
_atom_site_type_symbol
_atom_site_fract_x
_atom_site_fract_y
_atom_site_fract_z
Al1 Al 0.500 0.500 0.500
S1 S 0.000 0.000 0.000
B1 B 0.000 0.000 0.500
B2 B 0.500 0.000 0.000
B3 B 0.000 0.500 0.000

# GGA-PBE Al2BS, optimized geometry
# **E_tot**: -3.975 eV per atom
# **Calculated volume**: 53.4 Å³/cell
# **Space group**: Fm-3m (225)
# **Polymorph energy (0 for the lowest one)**: 0.7251 eV/atom
# **Fermi-level density of states**: 1.63 states/eV per cell
# **Formation energy from raw total energies**: 0.598 eV/atom
data_Al2BS
_cell_length_a 4.228
_cell_length_b 4.228
_cell_length_c 4.228
_cell_angle_alpha 60.00
_cell_angle_beta 60.00
_cell_angle_gamma 60.00
_space_group_name_H-M_alt 'P 1'
_space_group_IT_number 1
_space_group_name_Hall 'P 1'
loop_
_atom_site_label
_atom_site_type_symbol
_atom_site_fract_x
_atom_site_fract_y
_atom_site_fract_z
B1 B 0.000 0.000 0.000
Al1 Al 0.250 0.250 0.250
Al2 Al 0.750 0.750 0.750
S1 S 0.500 0.500 0.500

# GGA-PBE AlB3S, optimized geometry
# **E_tot**: -3.673 eV per atom
# **Calculated volume**: 74.7 Å³/cell
# **Space group**: Pm-3m (221)
# **Polymorph energy (0 for the lowest one)**: 0.3465 eV/atom
# **Fermi-level density of states**: 1.64 states/eV per cell
# **Formation energy from raw total energies**: 1.908 eV/atom
data_AlB3S
_cell_length_a 4.211
_cell_length_b 4.211
_cell_length_c 4.211
_cell_angle_alpha 90.00
_cell_angle_beta 90.00
_cell_angle_gamma 90.00
_space_group_name_H-M_alt 'P 1'
_space_group_IT_number 1
_space_group_name_Hall 'P 1'
loop_
_atom_site_label
_atom_site_type_symbol
_atom_site_fract_x
_atom_site_fract_y
_atom_site_fract_z
B1 B 0.000 0.000 0.500
B2 B 0.000 0.500 0.000
B3 B 0.500 0.000 0.000
Al1 Al 0.000 0.000 0.000
S1 S 0.500 0.500 0.500

# GGA-PBE AlBS2, optimized geometry
# **E_tot**: -3.891 eV per atom
# **Calculated volume**: 55.8 Å³/cell
# **Space group**: Fm-3m (225)
# **Polymorph energy (0 for the lowest one)**: 0.7547 eV/atom
# **Fermi-level density of states**: 1.17 states/eV per cell
# **Formation energy from raw total energies**: 0.778 eV/atom
data_AlBS2
_cell_length_a 4.288
_cell_length_b 4.288
_cell_length_c 4.288
_cell_angle_alpha 60.00
_cell_angle_beta 60.00
_cell_angle_gamma 60.00
_space_group_name_H-M_alt 'P 1'
_space_group_IT_number 1
_space_group_name_Hall 'P 1'
loop_
_atom_site_label
_atom_site_type_symbol
_atom_site_fract_x
_atom_site_fract_y
_atom_site_fract_z
B1 B 0.000 0.000 0.000
S1 S 0.250 0.250 0.250
S2 S 0.750 0.750 0.750
Al1 Al 0.500 0.500 0.500